(1)
A relaxed TeOsSeI2 crystal. Source: Alexandria via LeMat-Bulk, functional GGA-PBE.

Lattice parameters (Å, degrees): 5.638 5.638 5.574 90.00 90.00 90.00
Space group P4/mmm (No. 123)
Symmetry-distinct sites (fractional):
Te 0.000 0.000 0.000
Os 0.500 0.500 0.000
Se 0.000 0.000 0.500
I 0.000 0.500 0.500

Values from the calculation:
Relative energy among the computed polymorphs in meV per atom: 820
Formation energy from raw total energies in eV per atom: 1.625

---

(2)
A relaxed Rb2ZrB crystal. Source: Alexandria via LeMat-Bulk, functional GGA-PBE.

Lattice parameters (Å, degrees): 13.448 13.448 4.457 90.00 90.00 90.00
Space group I-42d (No. 122)
Symmetry-distinct sites (fractional):
Rb 0.055 0.250 0.125
Zr 0.000 0.000 0.500
B 0.000 0.000 0.000

Values from the calculation:
DFT formation energy in eV per atom: 1.08

---

(3)
A relaxed LaSi2Te crystal. Source: Alexandria via LeMat-Bulk, functional GGA-PBE.

Lattice parameters (Å, degrees): 8.165 8.165 6.170 90.00 90.00 90.00
Space group I-42d (No. 122)
Symmetry-distinct sites (fractional):
La 0.000 0.000 0.000
Si 0.231 0.250 0.625
Te 0.000 0.000 0.500

Values from the calculation:
Formation energy from raw total energies in eV per atom: 0.011

---

(4)
A relaxed Li2CaMgHg4 crystal. Source: Alexandria via LeMat-Bulk, functional GGA-PBE.

Lattice parameters (Å, degrees): 4.8476 4.8476 26.0468 90.00 90.00 120.00
Space group R-3m (No. 166, hexagonal axes)
Symmetry-distinct sites (fractional):
Li 0.0000 0.0000 0.2406
Ca 0.0000 0.0000 0.0000
Mg 0.0000 0.0000 0.5000
Hg 0.0000 0.0000 0.1253
Hg 0.0000 0.0000 0.3879

Values from the calculation:
DFT formation energy in eV per atom: -0.36

---

(5)
A relaxed Li2TmScS4 crystal. Source: Alexandria via LeMat-Bulk, functional GGA-PBE.

Lattice parameters (Å, degrees): 6.498 3.781 6.544 90.00 109.60 90.00
Space group P2/m (No. 10)
Symmetry-distinct sites (fractional):
Li 0.000 0.000 0.000
Li 0.000 0.500 0.500
Tm 0.500 0.000 0.500
Sc 0.500 0.500 0.000
S 0.253 0.500 0.243
S 0.258 0.000 0.761

Values from the calculation:
Formation energy from raw total energies in eV per atom: -1.811

---

(6)
A relaxed RbH12O7 crystal. Source: Alexandria via LeMat-Bulk, functional GGA-PBE.

Lattice parameters (Å, degrees): 5.7983 5.7983 18.6216 90.00 90.00 120.00
Space group R-3 (No. 148, hexagonal axes)
Symmetry-distinct sites (fractional):
Rb 0.0000 0.0000 0.0000
H 0.0035 0.2712 0.4781
H 0.0278 0.5108 0.9813
O 0.0000 0.0000 0.5000
O 0.0018 0.4477 0.4655

Values from the calculation:
Calculated total energy in eV per atom: -4.175

---

(7)
A relaxed Zn2GeBr crystal. Source: Alexandria via LeMat-Bulk, functional GGA-PBE.

Lattice parameters (Å, degrees): 6.081 6.081 11.561 90.00 90.00 90.00
Space group I-42d (No. 122)
Symmetry-distinct sites (fractional):
Zn 0.210 0.250 0.125
Ge 0.000 0.000 0.000
Br 0.000 0.000 0.500

Values from the calculation:
Relative energy among the computed polymorphs in meV per atom: 0
Formation energy from raw total energies in eV per atom: -0.033

---

(8)
A relaxed CaEr2Sc crystal. Source: Alexandria via LeMat-Bulk, functional GGA-PBE.

Lattice parameters (Å, degrees): 3.4629 3.4629 36.4065 90.00 90.00 120.00
Space group R-3m (No. 166, hexagonal axes)
Symmetry-distinct sites (fractional):
Ca 0.0000 0.0000 0.0000
Er 0.0000 0.0000 0.0938
Sc 0.0000 0.0000 0.5000

Values from the calculation:
DFT formation energy in eV per atom: 0.19
Relative energy among the computed polymorphs in meV per atom: 113

---

(9)
A relaxed SmTmCoPd crystal. Source: Alexandria via LeMat-Bulk, functional GGA-PBE.

Lattice parameters (Å, degrees): 6.888 6.888 6.888 90.00 90.00 90.00
Space group F-43m (No. 216)
Symmetry-distinct sites (fractional):
Sm 0.000 0.000 0.000
Tm 0.000 0.000 0.500
Co 0.250 0.250 0.750
Pd 0.250 0.250 0.250

Values from the calculation:
DFT formation energy in eV per atom: -0.45

---

(10)
A relaxed Th2As3Ir4Au crystal. Source: Alexandria via LeMat-Bulk, functional GGA-PBE.

Lattice parameters (Å, degrees): 4.098 4.098 11.383 90.00 90.00 90.00
Space group P-4m2 (No. 115)
Symmetry-distinct sites (fractional):
Th 0.000 0.500 0.249
As 0.000 0.000 0.000
As 0.000 0.500 0.625
Ir 0.000 0.000 0.500
Ir 0.000 0.500 0.833
Ir 0.500 0.500 0.500
Au 0.500 0.500 0.000

Values from the calculation:
DFT formation energy in eV per atom: -0.67

---

(11)
A relaxed RbBiS crystal. Source: Alexandria via LeMat-Bulk, functional GGA-PBE.

Lattice parameters (Å, degrees): 3.951 6.097 17.853 90.00 90.00 90.00
Space group Immm (No. 71)
Symmetry-distinct sites (fractional):
Rb 0.000 0.000 0.174
Bi 0.000 0.230 0.500
S 0.000 0.000 0.358

Values from the calculation:
Relative energy among the computed polymorphs in meV per atom: 86
Formation energy from raw total energies in eV per atom: -0.319

---

(12)
A relaxed Pm2ScCuS5 crystal. Source: Alexandria via LeMat-Bulk, functional GGA-PBE.

Lattice parameters (Å, degrees): 3.845 16.527 11.462 90.00 90.00 90.00
Space group Cmc2_1 (No. 36)
Symmetry-distinct sites (fractional):
Pm 0.000 0.110 0.000
Pm 0.000 0.126 0.622
Sc 0.000 0.194 0.324
Cu 0.000 0.437 0.766
S 0.000 0.048 0.372
S 0.000 0.287 0.978
S 0.000 0.309 0.667
S 0.000 0.353 0.315
S 0.000 0.498 0.092

Values from the calculation:
Formation energy from raw total energies in eV per atom: -1.728

---

Calculated calculated volume in order - 177.2 806.0 411.3 530.1 151.5 542.2 427.4 378.1 326.9 191.2 430.1 728.3 Å³/cell